Entry 1:
Here is a relaxed Nd2GaPd crystal from the Alexandria database. Energies are from GGA-PBE.

a = 4.506 Å, b = 3.999 Å, c = 5.993 Å
α = 109.49°, β = 90.00°, γ = 90.00°
Fractional coordinates of all 4 atoms:
Ga  0.000  0.699  0.397
Nd  0.500  0.265  0.531
Nd  0.000  0.983  0.966
Pd  0.500  0.552  0.105

Summary:
Total energy = -5.099 eV/atom
Formation energy = -2.6 eV per formula unit

Entry 2:
Here is a relaxed NdGaPd crystal from the Alexandria database. Energies are from GGA-PBE.

a = 3.475 Å, b = 3.475 Å, c = 5.790 Å
α = 107.46°, β = 107.46°, γ = 90.00°
Fractional coordinates of all 3 atoms:
Ga  0.698  0.698  0.396
Nd  0.002  0.002  0.004
Pd  0.300  0.300  0.601

Summary:
Total energy = -4.953 eV/atom
Formation energy = -1.9 eV per formula unit

> Among the records above, which one has the lowest total energy?

Nd2GaPd